First-principles (GGA-PBE) data for crystalline HgH2Au2 at its relaxed geometry, as listed in Alexandria.

a b c (Å): 7.9018 7.9018 2.7754
angles (deg): 90.00 90.00 90.00
With the nearest neighbours (Å) after each atom.
Positions (direct):
H1 0.7765 0.2765 0.0000  2 Au 1.76
H2 0.2765 0.2235 0.0000  2 Au 1.76
Au1 0.8729 0.3729 0.5000  2 H 1.76
H3 0.7235 0.7765 0.0000  2 Au 1.76
Hg1 0.5000 0.5000 0.0000  2 Hg 2.78, 4 H 2.81
Au2 0.3729 0.1271 0.5000  2 H 1.76
Au3 0.6271 0.8729 0.5000  2 H 1.76
H4 0.2235 0.7235 0.0000  2 Au 1.76
Hg2 0.0000 0.0000 0.0000  2 Hg 2.78, 4 H 2.81
Au4 0.1271 0.6271 0.5000  2 H 1.76

- VASP energy (eV per atom) = -2.430
- theoretical density (Mg/m³) = 11.432
- distance to the lowest polymorph of the same formula (eV/f.u.) = 0.84

=====

First-principles (GGA-PBE) data for crystalline Y3Ag2Rh2 at its relaxed geometry, as listed in Alexandria.

a b c (Å): 4.8442 4.8541 8.8362
angles (deg): 90.00 105.72 120.09
With the nearest neighbours (Å) after each atom.
Positions (direct):
Y1 0.4351 0.2176 0.6520  4 Rh 2.81, 3 Ag 3.12
Ag1 0.7879 0.3939 0.1824  3 Rh 3.01-3.02, 6 Y 3.12-3.19
Y2 0.5649 0.7824 0.3480  4 Rh 2.81, 3 Ag 3.12
Rh1 0.2117 0.1057 0.3176  5 Y 2.67-2.81
Rh2 0.7883 0.8943 0.6824  5 Y 2.67-2.81
Ag2 0.2121 0.6061 0.8176  3 Rh 3.01-3.02, 6 Y 3.12-3.19
Y3 0.0000 0.0000 0.0000  2 Rh 2.67

- VASP energy (eV per atom) = -6.084
- theoretical density (Mg/m³) = 6.694
- energy of formation (eV per formula unit) = -2.8

=====

First-principles (GGA-PBE) data for crystalline MnTeRu2 at its relaxed geometry, as listed in Alexandria.

a b c (Å): 4.9038 4.9038 4.4988
angles (deg): 75.71 75.71 37.43
With the nearest neighbours (Å) after each atom.
Positions (direct):
Ru1 0.0100 0.0100 0.9233  3 Mn 2.62-2.63, 4 Te 2.67-2.82
Te1 0.5027 0.5027 0.4467  7 Ru 2.65-2.82
Mn1 0.7453 0.7453 0.8197  7 Ru 2.62-2.79
Ru2 0.2420 0.2420 0.3103  3 Te 2.65-2.66, 4 Mn 2.70-2.79

- VASP energy (eV per atom) = -7.486
- theoretical density (Mg/m³) = 10.062
- ΔE_f (raw) (kJ/mol of atoms) = 22.2

=====

First-principles (GGA-PBE) data for crystalline Pr2Y3ErAs6 at its relaxed geometry, as listed in Alexandria.

a b c (Å): 4.1832 8.3589 9.3457
angles (deg): 102.91 102.93 90.00
With the nearest neighbours (Å) after each atom.
Positions (direct):
As1 0.3357 0.4107 0.6714  3 Y 2.91-2.92, 3 Pr 3.01-3.02
As2 0.3346 0.9251 0.6692  3 Y 2.91-2.97, 1 Er 2.93, 2 Pr 3.00
As3 0.6643 0.5893 0.3286  3 Y 2.91-2.92, 3 Pr 3.01-3.02
Y1 0.5000 0.5000 0.0000  6 As 2.91-2.97
Y2 0.8327 0.1659 0.6654  6 As 2.91-2.97
As4 0.9970 0.2460 0.9939  3 Y 2.91-2.97, 2 Er 2.94, 1 Pr 2.99
Pr1 0.1654 0.3315 0.3308  6 As 2.99-3.02
Y3 0.1673 0.8341 0.3346  6 As 2.91-2.97
As5 0.0030 0.7540 0.0061  3 Y 2.91-2.97, 2 Er 2.94, 1 Pr 2.99
As6 0.6654 0.0749 0.3308  3 Y 2.91-2.97, 1 Er 2.93, 2 Pr 3.00
Er1 0.5000 0.0000 0.0000  6 As 2.93-2.94
Pr2 0.8346 0.6685 0.6692  6 As 2.99-3.02

- VASP energy (eV per atom) = -6.637
- theoretical density (Mg/m³) = 6.242
- energy of formation (eV per formula unit) = -18.2

=====

First-principles (GGA-PBE) data for crystalline Pu8NiIr5 at its relaxed geometry, as listed in Alexandria.

a b c (Å): 7.3548 7.3548 7.3548
angles (deg): 109.34 109.74 109.34
With the nearest neighbours (Å) after each atom.
Positions (direct):
Pu1 0.9845 0.1101 0.7342  5 Ir 2.81-3.08, 1 Ni 2.82
Ir1 0.0026 0.3763 0.1249  8 Pu 2.81-3.09
Pu2 0.1256 0.7498 0.0155  5 Ir 2.81-3.08, 1 Ni 2.82
Pu3 0.4850 0.6104 0.2346  5 Ir 2.82-3.09, 1 Ni 3.06
Pu4 0.2658 0.2502 0.3758  5 Ir 2.81-3.08, 1 Ni 2.82
Pu5 0.6242 0.8899 0.8744  5 Ir 2.81-3.08, 1 Ni 2.82
Ir2 0.3737 0.1223 0.9974  8 Pu 2.81-3.09
Pu6 0.1253 0.7495 0.5150  5 Ir 2.82-3.09, 1 Ni 3.06
Ir3 0.7486 0.6237 0.6263  8 Pu 2.81-3.09
Ir4 0.5000 0.0000 0.5000  8 Pu 2.82-3.06
Ir5 0.8751 0.8777 0.2514  8 Pu 2.81-3.09
Ni1 0.2500 0.5000 0.7500  8 Pu 2.82-3.06
Pu7 0.6242 0.3896 0.8747  5 Ir 2.82-3.09, 1 Ni 3.06
Pu8 0.7654 0.2505 0.3758  5 Ir 2.82-3.09, 1 Ni 3.06

- VASP energy (eV per atom) = -12.153
- theoretical density (Mg/m³) = 16.113
- energy of formation (eV per formula unit) = -5.4

=====

First-principles (GGA-PBE) data for crystalline TaTcW14 at its relaxed geometry, as listed in Alexandria.

a b c (Å): 5.5145 5.5145 9.0155
angles (deg): 90.00 90.00 109.21
With the nearest neighbours (Å) after each atom.
Positions (direct):
W1 0.6250 0.8750 0.0000  8 W 2.76-2.77
W2 0.1250 0.3750 0.5000  2 Tc 2.76, 2 Ta 2.76, 4 W 2.76
W3 0.8759 0.6259 0.7517  6 W 2.75-2.76, 1 Tc 2.77, 1 Ta 2.78
W4 0.3751 0.6249 0.7493  8 W 2.76-2.77
W5 0.3741 0.1241 0.7517  6 W 2.75-2.76, 1 Tc 2.77, 1 Ta 2.78
W6 0.1250 0.8750 0.0000  8 W 2.75-2.76
W7 0.3751 0.6249 0.2507  8 W 2.76-2.77
W8 0.8749 0.1251 0.7493  8 W 2.75-2.77
Tc1 0.1250 0.8750 0.5000  8 W 2.76-2.77
Ta1 0.6250 0.3750 0.5000  8 W 2.76-2.78
W9 0.8749 0.1251 0.2507  8 W 2.75-2.77
W10 0.6250 0.3750 0.0000  8 W 2.75-2.76
W11 0.3741 0.1241 0.2483  6 W 2.75-2.76, 1 Tc 2.77, 1 Ta 2.78
W12 0.8759 0.6259 0.2483  6 W 2.75-2.76, 1 Tc 2.77, 1 Ta 2.78
W13 0.6250 0.8750 0.5000  2 Tc 2.76, 2 Ta 2.76, 4 W 2.76
W14 0.1250 0.3750 0.0000  8 W 2.76-2.77

- VASP energy (eV per atom) = -12.739
- theoretical density (Mg/m³) = 18.297
- energy of formation (eV per formula unit) = -0.3

=====

First-principles (GGA-PBE) data for crystalline Nd5InCu2 at its relaxed geometry, as listed in Alexandria.

a b c (Å): 8.2134 8.2134 8.8201
angles (deg): 117.75 117.75 90.00
With the nearest neighbours (Å) after each atom.
Positions (direct):
Nd1 0.2024 0.0117 0.7141  3 Cu 3.01-3.16
In1 0.2500 0.2500 0.5000  10 Nd 3.32-3.42
Nd2 0.9883 0.4883 0.2859  3 Cu 3.01-3.16
Cu1 0.3717 0.8717 0.0000  1 Cu 2.98, 8 Nd 3.01-3.23
Nd3 0.0000 0.0000 0.0000  4 Cu 3.23, 2 In 3.32
Nd4 0.5000 0.5000 0.0000  4 Cu 3.23, 2 In 3.32
Nd5 0.4883 0.2976 0.2859  3 Cu 3.01-3.16
Cu2 0.8717 0.6283 0.0000  1 Cu 2.98, 8 Nd 3.01-3.23
Nd6 0.7976 0.9883 0.2859  3 Cu 3.01-3.16
Nd7 0.2976 0.7976 0.2859  3 Cu 3.01-3.16
Nd8 0.7024 0.2024 0.7141  3 Cu 3.01-3.16
Nd9 0.0117 0.5117 0.7141  3 Cu 3.01-3.16
Cu3 0.6283 0.1283 0.0000  1 Cu 2.98, 8 Nd 3.01-3.23
Nd10 0.5117 0.7024 0.7141  3 Cu 3.01-3.16
In2 0.7500 0.7500 0.5000  10 Nd 3.32-3.42
Cu4 0.1283 0.3717 0.0000  1 Cu 2.98, 8 Nd 3.01-3.23

- VASP energy (eV per atom) = -4.538
- theoretical density (Mg/m³) = 7.143
- energy of formation (eV per formula unit) = -1.5

=====

First-principles (GGA-PBE) data for crystalline TbNd6Er3 at its relaxed geometry, as listed in Alexandria.

a b c (Å): 6.3595 11.1216 11.1216
angles (deg): 120.80 90.00 90.00
With the nearest neighbours (Å) after each atom.
Positions (direct):
Tb1 0.6125 0.8046 0.1954  3 Er 3.32-3.68, 6 Nd 3.36-3.50
Er1 0.4672 0.9453 0.7165  6 Nd 3.30-3.59, 1 Tb 3.32
Nd1 0.5474 0.6276 0.7115  4 Er 3.50-3.76, 5 Nd 3.53-3.77
Er2 0.5832 0.6145 0.3855  7 Nd 3.41-3.76, 1 Tb 3.68, 2 Er 3.71
Nd2 0.1516 0.7193 0.2807  4 Nd 3.15-3.51, 1 Tb 3.36, 1 Er 3.41
Nd3 0.3607 0.0587 0.4793  2 Nd 3.15-3.51, 1 Er 3.30, 2 Tb 3.37-3.50
Nd4 0.0474 0.7115 0.6276  4 Er 3.50-3.76, 5 Nd 3.53-3.77
Er3 0.4672 0.2835 0.0547  6 Nd 3.30-3.59, 1 Tb 3.32
Nd5 0.5474 0.2885 0.3724  4 Er 3.50-3.76, 5 Nd 3.53-3.77
Nd6 0.8875 0.0360 0.9640  1 Tb 3.40, 4 Nd 3.47-3.77, 4 Er 3.49-3.59
Nd7 0.6516 0.2807 0.7193  4 Nd 3.15-3.51, 1 Tb 3.36, 1 Er 3.41
Nd8 0.8607 0.9413 0.5207  2 Nd 3.15-3.51, 1 Er 3.30, 2 Tb 3.37-3.50
Tb2 0.1124 0.1954 0.8046  3 Er 3.32-3.68, 6 Nd 3.36-3.50
Nd9 0.0474 0.3724 0.2885  4 Er 3.50-3.76, 5 Nd 3.53-3.77
Er4 0.9672 0.7165 0.9453  6 Nd 3.30-3.59, 1 Tb 3.32
Nd10 0.3607 0.5207 0.9413  2 Nd 3.15-3.51, 1 Er 3.30, 2 Tb 3.37-3.50
Nd11 0.3875 0.9640 0.0360  1 Tb 3.40, 4 Nd 3.47-3.77, 4 Er 3.49-3.59
Nd12 0.8607 0.4793 0.0587  2 Nd 3.15-3.51, 1 Er 3.30, 2 Tb 3.37-3.50
Er5 0.0832 0.3855 0.6145  7 Nd 3.41-3.76, 1 Tb 3.68, 2 Er 3.71
Er6 0.9672 0.0547 0.2835  6 Nd 3.30-3.59, 1 Tb 3.32

- VASP energy (eV per atom) = -4.550
- theoretical density (Mg/m³) = 7.501
- energy of formation (eV per formula unit) = 1.4
- distance to the lowest polymorph of the same formula (eV/f.u.) = 0.16

=====

First-principles (GGA-PBE) data for crystalline Pm2Dy4C at its relaxed geometry, as listed in Alexandria.

a b c (Å): 4.8653 4.8653 9.5571
angles (deg): 75.25 75.25 90.00
With the nearest neighbours (Å) after each atom.
Positions (direct):
Dy1 0.1334 0.1334 0.7332  1 C 2.38
Dy2 0.5000 0.0000 0.0000  2 C 2.43
Pm1 0.6755 0.6755 0.6491  5 Dy 3.41-3.52
Dy3 0.8666 0.8666 0.2668  1 C 2.38
Pm2 0.3245 0.3245 0.3509  5 Dy 3.41-3.52
C1 0.0000 0.0000 0.0000  6 Dy 2.38-2.43
Dy4 0.0000 0.5000 0.0000  2 C 2.43

- VASP energy (eV per atom) = -5.196
- theoretical density (Mg/m³) = 7.490
- energy of formation (eV per formula unit) = 0.8
- distance to the lowest polymorph of the same formula (eV/f.u.) = 1.53

=====

First-principles (GGA-PBE) data for crystalline LiTmPd6 at its relaxed geometry, as listed in Alexandria.

a b c (Å): 5.5060 5.5060 5.5888
angles (deg): 71.73 71.73 111.85
With the nearest neighbours (Å) after each atom.
Positions (direct):
Pd1 0.2523 0.7679 0.7514  1 Li 2.59, 6 Pd 2.69-2.88, 1 Tm 2.76
Pd2 0.2480 0.2480 0.2279  1 Li 2.48, 3 Pd 2.69-2.70, 1 Tm 2.72
Pd3 0.2321 0.7477 0.2486  1 Li 2.59, 6 Pd 2.69-2.88, 1 Tm 2.76
Pd4 0.7520 0.7520 0.7721  1 Li 2.48, 3 Pd 2.69-2.70, 1 Tm 2.72
Tm1 0.5000 0.5000 0.5000  6 Pd 2.72-2.76, 2 Li 2.77
Li1 0.0000 0.0000 0.0000  6 Pd 2.48-2.59, 2 Tm 2.77
Pd5 0.7679 0.2523 0.7514  1 Li 2.59, 6 Pd 2.69-2.88, 1 Tm 2.76
Pd6 0.7477 0.2321 0.2486  1 Li 2.59, 6 Pd 2.69-2.88, 1 Tm 2.76

- VASP energy (eV per atom) = -5.058
- theoretical density (Mg/m³) = 10.375
- energy of formation (eV per formula unit) = -2.9
- distance to the lowest polymorph of the same formula (eV/f.u.) = 1.63

=====

- The lowest theoretical density belongs to which entry?
  Pr2Y3ErAs6